ScCuHPt2 | PBE-GGA | optimized geometry

a = 4.008 Å, b = 4.008 Å, c = 4.080 Å
α = 90.00°, β = 90.00°, γ = 90.00°
Positions (direct):
Sc 0.000 0.000 0.000
Cu 0.500 0.500 0.000
H 0.000 0.000 0.500
Pt 0.000 0.500 0.500
Pt 0.500 0.000 0.500

Calculated values
theoretical density = 12.66 Mg/m³
magnetic moment = 0.0 μB/f.u.
ΔE to the lowest computed polymorph = 0 kJ/mol of formula units

***

Sm2CuHPt6 | PBE-GGA | optimized geometry

a = 5.650 Å, b = 5.650 Å, c = 7.001 Å
α = 113.74°, β = 113.74°, γ = 60.01°
Positions (direct):
Sm 0.214 0.214 0.143
Sm 0.786 0.786 0.857
Cu 0.500 0.500 0.000
H 0.000 0.000 0.500
Pt 0.232 0.232 0.688
Pt 0.232 0.725 0.688
Pt 0.275 0.768 0.312
Pt 0.725 0.232 0.688
Pt 0.768 0.275 0.312
Pt 0.768 0.768 0.312

Calculated values
theoretical density = 14.88 Mg/m³
calculated total energy = -6.001 eV per atom
magnetic moment = 0.0 μB/f.u.

***

Sr2CuHPt | PBE-GGA | optimized geometry

a = 5.225 Å, b = 5.225 Å, c = 3.768 Å
α = 90.00°, β = 90.00°, γ = 90.00°
Positions (direct):
Sr 0.000 0.500 0.000
Sr 0.500 0.000 0.000
Cu 0.000 0.000 0.500
H 0.000 0.000 0.000
Pt 0.500 0.500 0.500

Calculated values
theoretical density = 7.02 Mg/m³
magnetic moment = 0.0 μB/f.u.
ΔE to the lowest computed polymorph = 6 kJ/mol of formula units

***

SrCuH6Pt | PBE-GGA | optimized geometry

a = 4.751 Å, b = 4.751 Å, c = 4.584 Å
α = 90.00°, β = 90.00°, γ = 120.00°
Positions (direct):
Sr 0.000 0.000 0.000
Cu 0.333 0.667 0.500
H 0.501 0.004 0.740
H 0.501 0.497 0.260
H 0.503 0.004 0.260
H 0.503 0.499 0.740
H 0.996 0.497 0.740
H 0.996 0.499 0.260
Pt 0.667 0.333 0.500

Calculated values
theoretical density = 6.53 Mg/m³
calculated total energy = -3.834 eV per atom
magnetic moment = 0.0 μB/f.u.

***

SrCu2H8Pt | PBE-GGA | optimized geometry

a = 4.640 Å, b = 4.887 Å, c = 5.403 Å
α = 90.86°, β = 92.53°, γ = 90.17°
Positions (direct):
Sr 0.000 0.000 0.000
Cu 0.489 0.497 0.777
Cu 0.511 0.503 0.223
H 0.141 0.503 0.217
H 0.233 0.257 0.599
H 0.238 0.740 0.607
H 0.500 0.244 0.998
H 0.500 0.756 0.002
H 0.762 0.260 0.393
H 0.767 0.743 0.401
H 0.859 0.497 0.783
Pt 0.000 0.500 0.500

Calculated values
theoretical density = 5.67 Mg/m³
calculated total energy = -3.759 eV per atom
magnetic moment = 0.0 μB/f.u.

***

Sr2CuHPt | PBE-GGA | optimized geometry

a = 5.383 Å, b = 5.383 Å, c = 3.703 Å
α = 90.00°, β = 90.00°, γ = 90.00°
Positions (direct):
Sr 0.000 0.500 0.000
Sr 0.500 0.000 0.000
Cu 0.000 0.000 0.500
H 0.500 0.500 0.000
Pt 0.500 0.500 0.500

Calculated values
theoretical density = 6.73 Mg/m³
magnetic moment = 0.0 μB/f.u.
ΔE to the lowest computed polymorph = 0 kJ/mol of formula units

***

SrCuHPt2 | PBE-GGA | optimized geometry

a = 5.380 Å, b = 5.380 Å, c = 3.553 Å
α = 90.00°, β = 90.00°, γ = 90.00°
Positions (direct):
Sr 0.000 0.000 0.000
Cu 0.500 0.500 0.500
H 0.000 0.000 0.500
Pt 0.000 0.500 0.000
Pt 0.500 0.000 0.000

Calculated values
theoretical density = 8.76 Mg/m³
calculated total energy = -3.085 eV per atom
magnetic moment = 0.0 μB/f.u.

***

TaCu2HPt | PBE-GGA | optimized geometry

a = 3.830 Å, b = 3.830 Å, c = 4.159 Å
α = 90.00°, β = 90.00°, γ = 90.00°
Positions (direct):
Ta 0.000 0.000 0.000
Cu 0.000 0.500 0.500
Cu 0.500 0.000 0.500
H 0.000 0.000 0.500
Pt 0.500 0.500 0.000

Calculated values
theoretical density = 13.72 Mg/m³
calculated total energy = -5.919 eV per atom
magnetic moment = 0.0 μB/f.u.

***

Cu2TcHPt | PBE-GGA | optimized geometry

a = 3.925 Å, b = 3.925 Å, c = 3.753 Å
α = 90.00°, β = 90.00°, γ = 90.00°
Positions (direct):
Cu 0.000 0.500 0.000
Cu 0.500 0.000 0.000
Tc 0.000 0.000 0.500
H 0.000 0.000 0.000
Pt 0.500 0.500 0.500

Calculated values
theoretical density = 12.10 Mg/m³
calculated total energy = -5.400 eV per atom
magnetic moment = 2.0 μB/f.u.

***

TiCu2HPt | PBE-GGA | optimized geometry

a = 3.788 Å, b = 3.788 Å, c = 4.061 Å
α = 90.00°, β = 90.00°, γ = 90.00°
Positions (direct):
Ti 0.000 0.000 0.000
Cu 0.000 0.500 0.500
Cu 0.500 0.000 0.500
H 0.000 0.000 0.500
Pt 0.500 0.500 0.000

Calculated values
theoretical density = 10.57 Mg/m³
calculated total energy = -5.346 eV per atom
magnetic moment = 0.3 μB/f.u.

***

TlCu2HPt | PBE-GGA | optimized geometry

a = 4.186 Å, b = 4.186 Å, c = 3.778 Å
α = 90.00°, β = 90.00°, γ = 90.00°
Positions (direct):
Tl 0.000 0.000 0.000
Cu 0.000 0.500 0.500
Cu 0.500 0.000 0.500
H 0.500 0.500 0.500
Pt 0.500 0.500 0.000

Calculated values
theoretical density = 13.23 Mg/m³
calculated total energy = -3.875 eV per atom
magnetic moment = 0.0 μB/f.u.

***

TlCuH6Pt | PBE-GGA | optimized geometry

a = 4.723 Å, b = 4.723 Å, c = 5.632 Å
α = 90.00°, β = 90.00°, γ = 120.00°
Positions (direct):
Tl 0.000 0.000 0.000
Cu 0.333 0.667 0.500
H 0.379 0.025 0.663
H 0.379 0.354 0.337
H 0.646 0.025 0.337
H 0.646 0.621 0.663
H 0.975 0.354 0.663
H 0.975 0.621 0.337
Pt 0.667 0.333 0.500

Calculated values
theoretical density = 7.16 Mg/m³
calculated total energy = -3.625 eV per atom
magnetic moment = 0.0 μB/f.u.